BaIn2Br | PBE | relaxed

Calculated values
Its energy above the most stable polymorph in this dataset is 0 meV per atom. The value obtained for the formation energy without anion corrections is -0.73 eV/atom.

Unit cell a=4.9772 b=4.9772 c=8.3422 alpha=73.08 beta=73.08 gamma=60.00
Element x y z (fractional)
Ba  0.5048  0.5048  0.4881
Br  0.7743  0.7743  0.6849
In  0.9455  0.9455  0.1581
In  0.2754  0.2754  0.1689